(1)
A plane-wave DFT calculation with GGA-PBEsol was carried out for BaCl after structural relaxation.

M_tot = 2.36 Bohr magnetons per cell
crystal system = orthorhombic
formation energy (no corrections) = -1.7192 eV per atom

Unit cell a=5.3134 b=9.2284 c=6.3159 alpha=90.00 beta=90.00 gamma=90.00
Fractional coordinates of all 8 atoms:
Ba1 0.0000 0.1658 0.2500
Ba2 0.0000 0.8342 0.7500
Ba3 0.5000 0.3342 0.7500
Ba4 0.5000 0.6658 0.2500
Cl1 0.0000 0.1671 0.7500
Cl2 0.0000 0.8329 0.2500
Cl3 0.5000 0.3329 0.2500
Cl4 0.5000 0.6671 0.7500


(2)
A plane-wave DFT calculation with GGA-PBEsol was carried out for Sc3CdGa after structural relaxation.

M_tot = 0.02 Bohr magnetons per cell
crystal system = cubic

Unit cell a=5.0231 b=5.0231 c=5.0231 alpha=90.00 beta=90.00 gamma=90.00
Fractional coordinates of all 5 atoms:
Sc1 0.0000 0.0000 0.5000
Sc2 0.0000 0.5000 0.0000
Sc3 0.5000 0.0000 0.0000
Cd1 0.5000 0.5000 0.5000
Ga1 0.0000 0.0000 0.0000


(3)
A plane-wave DFT calculation with GGA-PBEsol was carried out for Ca2CdW after structural relaxation.

M_tot = 0.00 Bohr magnetons per cell
crystal system = orthorhombic

Unit cell a=6.2800 b=9.6772 c=2.9523 alpha=90.00 beta=90.00 gamma=90.00
Fractional coordinates of all 8 atoms:
Ca1 0.2500 0.2500 0.0000
Ca2 0.2500 0.7500 0.0000
Ca3 0.7500 0.2500 0.0000
Ca4 0.7500 0.7500 0.0000
Cd1 0.0000 0.0000 0.5000
Cd2 0.5000 0.5000 0.5000
W1 0.0000 0.5000 0.5000
W2 0.5000 0.0000 0.5000


no.,electronic total energy (eV/atom)
1,-3.80
2,-4.78
3,-4.15